# BaY3

BaY3 after structural relaxation (PBE, Alexandria).

Values from the calculation:
* energy above the lowest structure with this stoichiometry: 42 meV per atom
* calculated total energy: -5.15 eV per atom
* energy relative to the elements: 184 meV per atom

a b c (Å): 3.743 5.086 7.819
angles (deg): 90.00 90.00 90.00
Space group Pmmm (No. 47)
Unique sites:
Ba1 0.000 0.000 0.000 [1 per cell]
Y1 0.000 0.000 0.500 [1 per cell]
Y2 0.500 0.500 0.283 [2 per cell]

***

# HfSeNF2

HfSeNF2 after structural relaxation (PBE, Alexandria).

Values from the calculation:
* energy above the lowest structure with this stoichiometry: 1727 meV per atom
* calculated total energy: -4.88 eV per atom
* formation energy (no corrections): 109 kJ/mol of formula units

a b c (Å): 4.639 4.639 3.644
angles (deg): 90.00 90.00 90.00
Space group P4/mmm (No. 123)
Unique sites:
Hf1 0.000 0.000 0.000 [1 per cell]
Se1 0.500 0.500 0.500 [1 per cell]
N1 0.500 0.500 0.000 [1 per cell]
F1 0.000 0.500 0.500 [2 per cell]

***

# LaDy2TlHg4

LaDy2TlHg4 after structural relaxation (PBE, Alexandria).

Values from the calculation:
* calculated total energy: -2.59 eV per atom
* energy relative to the elements: -374 meV per atom

a b c (Å): 5.1663 5.1663 28.1077
angles (deg): 90.00 90.00 120.00
Space group R-3m (No. 166, hexagonal axes)
Unique sites:
La1 0.0000 0.0000 0.0000 [3 per cell]
Dy1 0.0000 0.0000 0.2364 [6 per cell]
Tl1 0.0000 0.0000 0.5000 [3 per cell]
Hg1 0.0000 0.0000 0.1197 [6 per cell]
Hg2 0.0000 0.0000 0.3803 [6 per cell]